1.
A plane-wave DFT calculation with GGA-PBE was carried out for an optimized crystal structure of LiLa2Fe.

```
data_LiLa2Fe
_chemical_formula_sum 'Li1 La2 Fe1'
_space_group_name_H-M_alt 'P 1'
_space_group_IT_number 1
_space_group_name_Hall 'P 1'
_cell_length_a 3.929
_cell_length_b 3.929
_cell_length_c 9.141
_cell_angle_alpha 77.36
_cell_angle_beta 77.36
_cell_angle_gamma 60.12
loop_
_atom_site_label
_atom_site_fract_x
_atom_site_fract_y
_atom_site_fract_z
Fe1 0.750 0.750 0.750
La1 0.026 0.026 0.923
La2 0.474 0.474 0.577
Li1 0.250 0.250 0.250
```

Output
**E**: -4.87 eV/atom
**Crystal system**: monoclinic
**Magnetization**: 0.00 μB per formula unit
**Calculated volume**: 118.4 Å³/f.u.
**Energy of formation from the pure elements**: 0.19 eV per atom

***

2.
A plane-wave DFT calculation with GGA-PBE was carried out for an optimized crystal structure of Li2LaFe.

```
data_Li2LaFe
_chemical_formula_sum 'Li4 La2 Fe2'
_space_group_name_H-M_alt 'P 1'
_space_group_IT_number 1
_space_group_name_Hall 'P 1'
_cell_length_a 3.791
_cell_length_b 3.791
_cell_length_c 11.158
_cell_angle_alpha 80.22
_cell_angle_beta 80.22
_cell_angle_gamma 90.00
loop_
_atom_site_label
_atom_site_fract_x
_atom_site_fract_y
_atom_site_fract_z
Li1 0.576 0.125 0.250
Li2 0.174 0.625 0.250
Li3 0.375 0.424 0.750
Li4 0.875 0.826 0.750
Fe1 0.500 0.500 0.000
Fe2 0.250 0.750 0.500
La1 0.000 0.000 0.000
La2 0.750 0.250 0.500
```

Output
**E**: -3.89 eV/atom
**Energy above the most stable polymorph in this dataset**: 191 meV per atom
**Crystal system**: tetragonal
**Magnetization**: 0.00 μB per formula unit
**Calculated volume**: 77.8 Å³/f.u.
**Energy of formation from the pure elements**: 0.41 eV per atom

***

3.
A plane-wave DFT calculation with GGA-PBE was carried out for an optimized crystal structure of Li2LaFe2.

```
data_Li2LaFe2
_chemical_formula_sum 'Li2 La1 Fe2'
_space_group_name_H-M_alt 'P 1'
_space_group_IT_number 1
_space_group_name_Hall 'P 1'
_cell_length_a 6.657
_cell_length_b 6.657
_cell_length_c 6.657
_cell_angle_alpha 145.07
_cell_angle_beta 145.07
_cell_angle_gamma 50.24
loop_
_atom_site_label
_atom_site_fract_x
_atom_site_fract_y
_atom_site_fract_z
Li1 0.250 0.750 0.500
Li2 0.750 0.250 0.500
La1 0.000 0.000 0.000
Fe1 0.593 0.593 0.000
Fe2 0.407 0.407 0.000
```

Output
**E**: -4.84 eV/atom
**Crystal system**: tetragonal
**Magnetization**: 4.00 μB per formula unit
**Calculated volume**: 96.2 Å³/f.u.
**Energy of formation from the pure elements**: 0.29 eV per atom

***

4.
A plane-wave DFT calculation with GGA-PBE was carried out for an optimized crystal structure of Li2LaFe.

```
data_Li2LaFe
_chemical_formula_sum 'Li2 La1 Fe1'
_space_group_name_H-M_alt 'P 1'
_space_group_IT_number 1
_space_group_name_Hall 'P 1'
_cell_length_a 4.928
_cell_length_b 4.928
_cell_length_c 4.928
_cell_angle_alpha 131.68
_cell_angle_beta 116.71
_cell_angle_gamma 83.42
loop_
_atom_site_label
_atom_site_fract_x
_atom_site_fract_y
_atom_site_fract_z
Fe1 0.464 0.464 0.000
La1 0.301 0.801 0.500
Li1 0.999 0.999 0.000
Li2 0.736 0.236 0.500
```

Output
**E**: -3.95 eV/atom
**Energy above the most stable polymorph in this dataset**: 133 meV per atom
**Crystal system**: orthorhombic
**Magnetization**: 0.00 μB per formula unit
**Calculated volume**: 76.7 Å³/f.u.
**Energy of formation from the pure elements**: 0.36 eV per atom

***

5.
A plane-wave DFT calculation with GGA-PBE was carried out for an optimized crystal structure of LiLa2Fe.

```
data_LiLa2Fe
_chemical_formula_sum 'Li1 La2 Fe1'
_space_group_name_H-M_alt 'P 1'
_space_group_IT_number 1
_space_group_name_Hall 'P 1'
_cell_length_a 5.060
_cell_length_b 5.060
_cell_length_c 5.060
_cell_angle_alpha 60.00
_cell_angle_beta 60.00
_cell_angle_gamma 60.00
loop_
_atom_site_label
_atom_site_fract_x
_atom_site_fract_y
_atom_site_fract_z
Fe1 0.500 0.500 0.500
La1 0.000 0.000 0.000
La2 0.250 0.250 0.250
Li1 0.750 0.750 0.750
```

Output
**E**: -4.71 eV/atom
**Crystal system**: cubic
**Magnetization**: 1.94 μB per formula unit
**Calculated volume**: 91.6 Å³/f.u.
**Energy of formation from the pure elements**: 0.34 eV per atom

***

6.
A plane-wave DFT calculation with GGA-PBE was carried out for an optimized crystal structure of LiLa2Fe.

```
data_LiLa2Fe
_chemical_formula_sum 'Li2 La4 Fe2'
_space_group_name_H-M_alt 'P 1'
_space_group_IT_number 1
_space_group_name_Hall 'P 1'
_cell_length_a 7.944
_cell_length_b 7.944
_cell_length_c 6.497
_cell_angle_alpha 52.31
_cell_angle_beta 52.31
_cell_angle_gamma 90.00
loop_
_atom_site_label
_atom_site_fract_x
_atom_site_fract_y
_atom_site_fract_z
Li1 0.500 0.500 0.000
Li2 0.250 0.750 0.500
Fe1 0.000 0.000 0.000
Fe2 0.750 0.250 0.500
La1 0.691 0.125 0.250
La2 0.059 0.625 0.250
La3 0.375 0.309 0.750
La4 0.875 0.941 0.750
```

Output
**E**: -4.73 eV/atom
**Crystal system**: tetragonal
**Magnetization**: 0.62 μB per formula unit
**Calculated volume**: 103.0 Å³/f.u.
**Energy of formation from the pure elements**: 0.33 eV per atom

***

7.
A plane-wave DFT calculation with GGA-PBE was carried out for an optimized crystal structure of LiLa6Fe2.

```
data_LiLa6Fe2
_chemical_formula_sum 'Li2 La12 Fe4'
_space_group_name_H-M_alt 'P 1'
_space_group_IT_number 1
_space_group_name_Hall 'P 1'
_cell_length_a 8.834
_cell_length_b 8.834
_cell_length_c 8.834
_cell_angle_alpha 108.21
_cell_angle_beta 109.67
_cell_angle_gamma 110.54
loop_
_atom_site_label
_atom_site_fract_x
_atom_site_fract_y
_atom_site_fract_z
Li1 0.000 0.500 0.500
Li2 0.000 0.000 0.000
La1 0.521 0.704 0.817
La2 0.479 0.296 0.183
La3 0.113 0.296 0.817
La4 0.887 0.704 0.183
La5 0.785 0.789 0.574
La6 0.215 0.211 0.426
La7 0.215 0.789 0.004
La8 0.785 0.211 0.996
La9 0.698 0.383 0.686
La10 0.302 0.617 0.314
La11 0.302 0.988 0.686
La12 0.698 0.012 0.314
Fe1 0.500 0.390 0.890
Fe2 0.500 0.610 0.110
Fe3 0.617 0.000 0.617
Fe4 0.383 0.000 0.383
```

Output
**E**: -5.32 eV/atom
**Crystal system**: orthorhombic
**Magnetization**: 1.66 μB per formula unit
**Calculated volume**: 265.3 Å³/f.u.
**Energy of formation from the pure elements**: 0.05 eV per atom

***

8.
A plane-wave DFT calculation with GGA-PBE was carried out for an optimized crystal structure of LiLaFe2Mo.

```
data_LiLaFe2Mo
_chemical_formula_sum 'Li1 La1 Fe2 Mo1'
_space_group_name_H-M_alt 'P 1'
_space_group_IT_number 1
_space_group_name_Hall 'P 1'
_cell_length_a 4.655
_cell_length_b 5.336
_cell_length_c 4.655
_cell_angle_alpha 90.00
_cell_angle_beta 90.00
_cell_angle_gamma 90.00
loop_
_atom_site_label
_atom_site_fract_x
_atom_site_fract_y
_atom_site_fract_z
Mo1 0.000 0.000 0.000
Li1 0.500 0.500 0.500
Fe1 0.000 0.000 0.500
Fe2 0.500 0.000 0.000
La1 0.000 0.500 0.000
```

Output
**E**: -5.93 eV/atom
**Crystal system**: tetragonal
**Magnetization**: 3.81 μB per formula unit
**Calculated volume**: 115.6 Å³/f.u.
**Energy of formation from the pure elements**: 0.99 eV per atom

***

9.
A plane-wave DFT calculation with GGA-PBE was carried out for an optimized crystal structure of LiLa2FeN.

```
data_LiLa2FeN
_chemical_formula_sum 'Li1 La2 Fe1 N1'
_space_group_name_H-M_alt 'P 1'
_space_group_IT_number 1
_space_group_name_Hall 'P 1'
_cell_length_a 5.289
_cell_length_b 5.289
_cell_length_c 3.625
_cell_angle_alpha 90.00
_cell_angle_beta 90.00
_cell_angle_gamma 90.00
loop_
_atom_site_label
_atom_site_fract_x
_atom_site_fract_y
_atom_site_fract_z
N1 0.000 0.000 0.000
Li1 0.500 0.500 0.500
Fe1 0.000 0.000 0.500
La1 0.000 0.500 0.000
La2 0.500 0.000 0.000
```

Output
**E**: -6.18 eV/atom
**Crystal system**: tetragonal
**Energy relative to the elements, uncorrected**: -2.3 eV per formula unit
**Magnetization**: 0.00 μB per formula unit
**Calculated volume**: 101.4 Å³/f.u.

***

10.
A plane-wave DFT calculation with GGA-PBE was carried out for an optimized crystal structure of LiLaNbFe2.

```
data_LiLaNbFe2
_chemical_formula_sum 'Li1 La1 Nb1 Fe2'
_space_group_name_H-M_alt 'P 1'
_space_group_IT_number 1
_space_group_name_Hall 'P 1'
_cell_length_a 4.714
_cell_length_b 5.481
_cell_length_c 4.714
_cell_angle_alpha 90.00
_cell_angle_beta 90.00
_cell_angle_gamma 90.00
loop_
_atom_site_label
_atom_site_fract_x
_atom_site_fract_y
_atom_site_fract_z
Nb1 0.000 0.000 0.000
Li1 0.500 0.500 0.500
Fe1 0.000 0.000 0.500
Fe2 0.500 0.000 0.000
La1 0.000 0.500 0.000
```

Output
**E**: -5.73 eV/atom
**Crystal system**: tetragonal
**Magnetization**: 3.64 μB per formula unit
**Calculated volume**: 121.8 Å³/f.u.
**Energy of formation from the pure elements**: 1.04 eV per atom